1.
Density functional theory data (PBE-GGA) for Na2U2TeS6 after structural relaxation.

The space group is C2/m (No. 12) and the conventional cell measures 6.270, 13.449 and 6.960 Å, with angles of 90.00, 101.20 and 90.00 degrees. Symmetry generates all atoms from Na at (0.000, 0.136, 0.000), U at (0.000, 0.345, 0.500), Te at (0.000, 0.000, 0.500), S at (0.192, 0.500, 0.730) and S at (0.234, 0.273, 0.265).

2.
Density functional theory data (PBE-GGA) for NaTeW2S after structural relaxation.

The space group is P4/mmm (No. 123) and the conventional cell measures 5.132, 5.132 and 5.565 Å, with angles of 90.00, 90.00 and 90.00 degrees. Symmetry generates all atoms from Na at (0.000, 0.000, 0.000), Te at (0.500, 0.500, 0.500), W at (0.000, 0.500, 0.500) and S at (0.500, 0.500, 0.000).

3.
Density functional theory data (PBE-GGA) for Na2YTeS4 after structural relaxation.

The space group is C2/c (No. 15) and the conventional cell measures 11.258, 11.169 and 7.977 Å, with angles of 90.00, 130.25 and 90.00 degrees. Symmetry generates all atoms from Na at (0.000, 0.000, 0.000), Na at (0.250, 0.250, 0.000), Y at (0.000, 0.500, 0.000), Te at (0.250, 0.250, 0.500), S at (0.029, 0.255, 0.525) and S at (0.225, 0.490, 0.458).

4.
Density functional theory data (PBE-GGA) for Na3Y3TeS8 after structural relaxation.

The space group is R-3m (No. 166, hexagonal axes) and the conventional cell measures 7.9418, 7.9418 and 20.1995 Å, with angles of 90.00, 90.00 and 120.00 degrees. Symmetry generates all atoms from Na at (0.0000, 0.5000, 0.0000), Y at (0.0000, 0.5000, 0.5000), Te at (0.0000, 0.0000, 0.5000), S at (0.0000, 0.0000, 0.2418) and S at (0.0090, 0.5045, 0.2405).

5.
Density functional theory data (PBE-GGA) for NaZrTe2S6 after structural relaxation.

The space group is P1 (No. 1) and the conventional cell measures 6.565, 6.732 and 7.510 Å, with angles of 115.00, 91.22 and 116.58 degrees. Symmetry generates all atoms from Na at (0.000, 0.000, 0.000), Zr at (0.509, 0.050, 0.557), Te at (0.208, 0.417, 0.614), Te at (0.681, 0.423, 0.166), S at (0.141, 0.963, 0.359), S at (0.354, 0.912, 0.818), S at (0.430, 0.581, 0.332), S at (0.572, 0.491, 0.797), S at (0.764, 0.205, 0.322) and S at (0.926, 0.253, 0.797).

6.
Density functional theory data (PBE-GGA) for Na4Th3S8 after structural relaxation.

The space group is R-3m (No. 166, hexagonal axes) and the conventional cell measures 8.3328, 8.3328 and 21.4466 Å, with angles of 90.00, 90.00 and 120.00 degrees. Symmetry generates all atoms from Na at (0.0000, 0.0000, 0.0000), Na at (0.0000, 0.0000, 0.1388), Na at (0.0000, 0.0000, 0.5000), Th at (0.0000, 0.5000, 0.0000), S at (0.0000, 0.0000, 0.2650) and S at (0.0178, 0.5089, 0.2630).

7.
Density functional theory data (PBE-GGA) for NaTh3S4 after structural relaxation.

The space group is Cmmm (No. 65) and the conventional cell measures 8.108, 11.383 and 4.026 Å, with angles of 90.00, 90.00 and 90.00 degrees. Symmetry generates all atoms from Na at (0.000, 0.000, 0.000), Th at (0.000, 0.500, 0.000), Th at (0.250, 0.250, 0.500), S at (0.000, 0.245, 0.000) and S at (0.244, 0.000, 0.500).

8.
Density functional theory data (PBE-GGA) for Na2ThTl2S4 after structural relaxation.

The space group is C2/m (No. 12) and the conventional cell measures 16.840, 4.307 and 7.739 Å, with angles of 90.00, 116.94 and 90.00 degrees. Symmetry generates all atoms from Na at (0.169, 0.000, 0.429), Th at (0.000, 0.500, 0.500), Tl at (0.157, 0.500, 0.035), S at (0.012, 0.000, 0.745) and S at (0.188, 0.500, 0.671).

9.
Density functional theory data (PBE-GGA) for Na3Tm2ThS6 after structural relaxation.

The space group is C2/m (No. 12) and the conventional cell measures 17.656, 3.941 and 8.190 Å, with angles of 90.00, 105.18 and 90.00 degrees. Symmetry generates all atoms from Na at (0.000, 0.000, 0.000), Na at (0.167, 0.500, 0.330), Tm at (0.169, 0.500, 0.840), Th at (0.000, 0.000, 0.500), S at (0.007, 0.500, 0.752), S at (0.164, 0.000, 0.602) and S at (0.173, 0.000, 0.069).

10.
Density functional theory data (PBE-GGA) for Na2ThUS6 after structural relaxation.

The space group is P2_1/c (No. 14) and the conventional cell measures 6.879, 7.334 and 12.137 Å, with angles of 90.00, 123.82 and 90.00 degrees. Symmetry generates all atoms from Na at (0.222, 0.078, 0.248), Th at (0.500, 0.000, 0.000), U at (0.000, 0.000, 0.500), S at (0.111, 0.204, 0.934), S at (0.237, 0.685, 0.936) and S at (0.358, 0.040, 0.738).

11.
Density functional theory data (PBE-GGA) for Na3Y2ThS6 after structural relaxation.

The space group is C2/m (No. 12) and the conventional cell measures 17.736, 3.992 and 8.194 Å, with angles of 90.00, 104.79 and 90.00 degrees. Symmetry generates all atoms from Na at (0.000, 0.000, 0.000), Na at (0.168, 0.500, 0.331), Y at (0.169, 0.500, 0.839), Th at (0.000, 0.000, 0.500), S at (0.005, 0.500, 0.748), S at (0.163, 0.000, 0.597) and S at (0.171, 0.000, 0.072).

12.
Density functional theory data (PBE-GGA) for NaY2ThS4 after structural relaxation.

The space group is P2/m (No. 10) and the conventional cell measures 6.892, 3.932 and 6.922 Å, with angles of 90.00, 108.67 and 90.00 degrees. Symmetry generates all atoms from Na at (0.000, 0.000, 0.000), Y at (0.500, 0.000, 0.500), Y at (0.500, 0.500, 0.000), Th at (0.000, 0.500, 0.500), S at (0.258, 0.000, 0.758) and S at (0.259, 0.500, 0.253).

Sequential mass density output: 4.86; 6.23; 3.39; 3.25; 3.59; 4.04; 7.57; 5.41; 5.02; 4.63; 3.97; 5.24 g/cm3
Sequential E_form (uncorrected) output: -1.030; 1.944; -1.084; -1.469; -0.518; -1.656; -1.736; -1.099; -1.763; -1.370; -1.768; -1.849 eV/atom
Sequential final energy output: -5.860; -4.955; -4.678; -5.437; -4.610; -5.693; -6.747; -4.576; -5.520; -5.981; -5.857; -6.621 eV/atom